Ta2TiN after structural relaxation. Source: Alexandria, functional PBE-GGA.

Output
**Formation energy from raw total energies**: -0.158 eV per atom

Lattice parameters (Å, degrees): 8.235 8.235 8.235 20.70 20.70 20.70
Fractional positions:
Ta 0.110 0.110 0.110
Ta 0.890 0.890 0.890
Ti 0.000 0.000 0.000
N 0.500 0.500 0.500

Dy5Ho5In2 after structural relaxation. Source: Alexandria, functional PBE-GGA.

Output
**Energy of formation**: -0.109 eV/atom

Lattice parameters (Å, degrees): 6.596 6.596 11.654 107.31 107.31 48.19
Fractional positions:
Dy 0.000 0.000 0.000
Dy 0.181 0.181 0.525
Dy 0.251 0.251 0.250
Dy 0.749 0.749 0.750
Dy 0.819 0.819 0.475
Ho 0.303 0.303 0.963
Ho 0.449 0.449 0.770
Ho 0.500 0.500 0.500
Ho 0.551 0.551 0.230
Ho 0.697 0.697 0.037
In 0.063 0.063 0.730
In 0.937 0.937 0.270

Ce2Si3HgPt4 after structural relaxation. Source: Alexandria, functional PBE-GGA.

Output
**Formation energy from raw total energies**: -0.879 eV per atom

Lattice parameters (Å, degrees): 4.157 4.157 10.941 90.00 90.00 90.00
Fractional positions:
Ce 0.000 0.500 0.244
Ce 0.500 0.000 0.756
Si 0.000 0.500 0.878
Si 0.500 0.000 0.122
Si 0.500 0.500 0.500
Hg 0.000 0.000 0.500
Pt 0.000 0.000 0.000
Pt 0.000 0.500 0.664
Pt 0.500 0.000 0.336
Pt 0.500 0.500 0.000

Na2CdInPd after structural relaxation. Source: Alexandria, functional PBE-GGA.

Output
**Energy of formation**: 0.277 eV/atom

Lattice parameters (Å, degrees): 5.559 5.559 5.147 90.00 90.00 90.00
Fractional positions:
Na 0.000 0.500 0.000
Na 0.500 0.000 0.000
Cd 0.000 0.000 0.000
In 0.500 0.500 0.500
Pd 0.000 0.000 0.500

MoOs5 after structural relaxation. Source: Alexandria, functional PBE-GGA.

Output
**Distance to the lowest polymorph of the same formula**: 4.071 eV per formula unit
**Energy of formation**: 0.648 eV/atom

Lattice parameters (Å, degrees): 5.083 5.083 5.083 60.00 60.00 60.00
Fractional positions:
Mo 0.000 0.000 0.000
Os 0.375 0.375 0.375
Os 0.375 0.375 0.874
Os 0.375 0.874 0.375
Os 0.750 0.750 0.750
Os 0.874 0.375 0.375

Th5TcSe5 after structural relaxation. Source: Alexandria, functional PBE-GGA.

Output
**Formation energy from raw total energies**: -1.348 eV per atom

Lattice parameters (Å, degrees): 7.324 7.324 8.395 107.08 107.08 47.98
Fractional positions:
Th 0.000 0.000 0.000
Th 0.343 0.343 0.158
Th 0.344 0.344 0.687
Th 0.656 0.656 0.313
Th 0.657 0.657 0.842
Tc 0.500 0.500 0.000
Se 0.161 0.161 0.820
Se 0.176 0.176 0.339
Se 0.500 0.500 0.500
Se 0.824 0.824 0.661
Se 0.839 0.839 0.180

no.,calculated volume (Å³ per cell)
1,61.10
2,357.21
3,189.11
4,159.04
5,92.84
6,316.75